Computed, not measured: a geometry-optimized KTmInS3 structure at the PBE level of DFT.

Structure (POSCAR):
```
KTmInS3
1.0
-3.0932 2.1774 7.1448
-0.1151 -4.4894 -6.7223
6.2075 -7.6946 5.0323
In Tm K S
2 2 2 6
Cartesian
1.8714 -4.2852 9.4805
1.1278 -5.7214 -4.0256
-1.6042 -1.1560 0.2112
1.4996 -5.0033 2.7274
-0.9841 -0.9937 5.8083
3.9833 -9.0129 -0.3534
3.0205 -6.8577 4.1295
3.3813 -6.1966 10.4869
0.4411 -2.5520 8.1033
-0.0214 -3.1489 1.3253
-0.3821 -3.8099 -5.0321
2.5581 -7.4546 -2.6484
```

Summary:
size of the total moment = 0.9 μB/cell
electronic total energy = -4.67 eV per atom


Computed, not measured: a geometry-optimized BeTcW structure at the PBE level of DFT.

Structure (POSCAR):
```
BeTcW
1.0
2.8945 -2.5673 -0.4581
1.1906 -2.1529 3.0209
-0.7538 -3.8214 0.0860
Tc Be W
1 1 1
Cartesian
0.8328 -2.1354 0.6622
0.0000 0.0000 0.0000
2.4985 -6.4062 1.9866
```

Summary:
size of the total moment = 0.0 μB/cell
electronic total energy = -8.46 eV per atom


Computed, not measured: a geometry-optimized AlNiMoPt structure at the PBE level of DFT.

Structure (POSCAR):
```
AlNiMoPt
1.0
0.0000 3.0635 3.0635
3.0635 0.0000 3.0635
3.0635 3.0635 0.0000
Pt Al Ni Mo
1 1 1 1
Cartesian
1.5318 1.5318 1.5318
0.0000 0.0000 0.0000
4.5952 4.5952 4.5952
3.0635 3.0635 3.0635
```

Summary:
size of the total moment = 0.0 μB/cell
electronic total energy = -6.79 eV per atom


Computed, not measured: a geometry-optimized Hf3Nb2W3N12 structure at the PBE level of DFT.

Structure (POSCAR):
```
Hf3Nb2W3N12
1.0
-6.2066 6.2066 6.2066
6.2066 -6.2066 6.2066
6.2066 6.2066 -6.2066
N Hf Nb W
48 12 8 12
Cartesian
2.7571 -1.1798 8.4757
-1.1798 2.2691 9.6561
-0.3462 0.8342 1.9235
7.3864 -2.2691 3.4495
5.8604 -0.8342 1.9235
1.9235 0.3462 5.3724
5.3724 1.9235 0.3462
3.4495 1.1798 2.2691
1.9235 -0.3462 0.8342
5.3724 -1.9235 5.8604
5.3724 4.2831 6.5528
3.9375 3.4495 -1.1798
2.2691 9.6561 -1.1798
-0.8342 1.9235 5.8604
8.1301 0.3462 0.8342
2.2691 2.7571 7.3864
0.8342 8.1301 0.3462
7.3864 2.2691 2.7571
0.3462 5.3724 1.9235
7.0408 4.2831 0.3462
-3.4495 7.3864 3.9375
3.9375 -3.4495 7.3864
0.8342 1.9235 -0.3462
7.3864 3.9375 -3.4495
8.4757 2.7571 -1.1798
1.9235 5.8604 -0.8342
-1.1798 8.4757 2.7571
2.2691 3.4495 1.1798
0.8342 4.2831 5.8604
5.8604 0.8342 4.2831
1.1798 2.2691 3.4495
-2.2691 3.4495 7.3864
6.5528 5.3724 4.2831
0.3462 7.0408 4.2831
0.3462 0.8342 8.1301
3.9375 2.7571 5.0268
-1.1798 3.9375 3.4495
-1.9235 5.8604 5.3724
5.8604 5.3724 -1.9235
4.2831 6.5528 5.3724
3.4495 7.3864 -2.2691
4.2831 5.8604 0.8342
2.7571 5.0268 3.9375
4.2831 0.3462 7.0408
3.4495 -1.1798 3.9375
5.0268 3.9375 2.7571
2.7571 7.3864 2.2691
9.6561 -1.1798 2.2691
0.0000 3.1033 7.7582
4.6549 6.2066 3.1033
7.7582 0.0000 3.1033
3.1033 -1.5517 6.2066
3.1033 1.5516 0.0000
1.5516 0.0000 3.1033
0.0000 3.1033 1.5516
-1.5517 6.2066 3.1033
3.1033 7.7582 0.0000
6.2066 3.1033 -1.5517
3.1033 4.6549 6.2066
6.2066 3.1033 4.6549
0.0000 0.0000 0.0000
3.1033 3.1033 3.1033
0.0000 6.2066 0.0000
6.2066 0.0000 0.0000
0.0000 0.0000 6.2066
-3.1033 3.1033 3.1033
3.1033 3.1033 -3.1033
3.1033 -3.1033 3.1033
1.5516 6.2066 3.1033
6.2066 -3.1033 4.6549
4.6549 6.2066 -3.1033
1.5516 0.0000 9.3099
-3.1033 4.6549 6.2066
3.1033 4.6549 0.0000
6.2066 3.1033 1.5516
9.3099 1.5516 0.0000
0.0000 9.3099 1.5516
4.6549 0.0000 3.1033
3.1033 1.5516 6.2066
0.0000 3.1033 4.6549
```

Summary:
size of the total moment = 0.7 μB/cell
electronic total energy = -10.19 eV per atom


Computed, not measured: a geometry-optimized Li2Mg2ZnGaPd2 structure at the PBE level of DFT.

Structure (POSCAR):
```
Li2Mg2ZnGaPd2
1.0
-1.3285 3.2077 2.7509
-3.1196 -2.6896 1.6296
4.0173 -2.0416 4.3207
Pd Zn Mg Li Ga
2 1 2 2 1
Cartesian
0.3642 1.0812 2.4816
1.4290 -2.8637 4.0294
-2.2240 0.2590 2.1903
-0.2154 -0.7618 4.3506
0.0000 0.0000 0.0000
2.3554 0.0693 4.6231
-0.5621 -1.8518 1.8879
2.0086 -1.0208 2.1604
```

Summary:
electronic total energy = -3.22 eV per atom


Computed, not measured: a geometry-optimized GdDySb2 structure at the PBE level of DFT.

Structure (POSCAR):
```
GdDySb2
1.0
-0.7963 -3.0096 3.1077
3.6396 -2.1742 -1.1730
3.3072 3.3360 4.0782
Dy Gd Sb
1 1 2
Cartesian
1.6536 1.6680 2.0391
1.4216 -2.5919 0.9674
3.0752 -0.9239 3.0065
0.0000 0.0000 0.0000
```

Summary:
size of the total moment = 0.0 μB/cell
electronic total energy = -5.52 eV per atom


Computed, not measured: a geometry-optimized InPdO structure at the PBE level of DFT.

Structure (POSCAR):
```
InPdO
1.0
-6.0473 3.5207 4.3709
-4.4187 6.4116 2.7267
-6.9225 4.4012 0.8820
O In Pd
2 2 2
Cartesian
-10.9591 9.0337 5.0292
-6.4294 5.2998 2.9504
-12.6332 10.4137 5.7974
-4.7553 3.9198 2.1822
-2.3319 1.9222 1.0701
-15.0566 12.4113 6.9095
```

Summary:
electronic total energy = -5.00 eV per atom


Computed, not measured: a geometry-optimized HoCoAg structure at the PBE level of DFT.

Structure (POSCAR):
```
HoCoAg
1.0
3.7667 -1.1534 2.2598
-0.2925 -2.5328 3.7583
1.4464 -4.3048 -0.0445
Co Ho Ag
1 1 1
Cartesian
1.2302 -1.9977 1.4934
0.0000 0.0000 0.0000
3.6905 -5.9932 4.4802
```

Summary:
energy of formation from the pure elements = 0.6191 eV per atom
size of the total moment = 0.2 μB/cell
electronic total energy = -4.22 eV per atom


Computed, not measured: a geometry-optimized HoB4Pd structure at the PBE level of DFT.

Structure (POSCAR):
```
HoB4Pd
1.0
-1.5768 2.6619 3.8105
1.5768 -2.6619 3.8105
1.5768 2.6619 -3.8105
Pd B Ho
1 4 1
Cartesian
0.0000 0.0000 0.0000
1.5768 0.9361 1.9641
0.0000 1.7258 1.8464
1.5768 -0.9361 1.9641
0.0000 3.5979 1.8464
0.0000 0.0000 3.8105
```

Summary:
size of the total moment = 0.0 μB/cell
electronic total energy = -6.34 eV per atom


Computed, not measured: a geometry-optimized NaYFeSe3 structure at the PBE level of DFT.

Structure (POSCAR):
```
NaYFeSe3
1.0
-7.7873 -2.5445 -0.2276
1.2377 -3.8723 0.9435
-1.5479 3.3327 15.7080
Fe Se Na Y
4 12 4 4
Cartesian
-0.2598 -2.7532 2.8859
-7.8378 -0.3309 13.5381
-3.6050 0.2113 10.2111
-4.4925 -3.2954 6.2129
-1.0223 -2.4569 5.1023
-6.5765 -3.6648 7.4304
-4.8151 -3.9463 3.9648
-3.9208 -2.2168 9.8898
-4.1768 -0.8673 6.5342
-0.5167 0.1095 14.9715
-2.0925 -3.6635 1.5539
-3.2825 0.8622 12.4592
-7.0752 -0.6272 11.3218
-6.0050 0.5794 14.8701
-1.5211 0.5808 8.9936
-7.5809 -3.1936 1.4525
-7.3555 -2.3779 4.5044
-3.3529 -1.3401 3.5130
-0.7421 -0.7062 11.9196
-4.7447 -1.7439 12.9110
-5.0070 -4.6710 1.2423
-1.7482 -2.0320 7.7979
-6.3494 -1.0520 8.6261
-3.0906 1.5869 15.1817
```

Summary:
size of the total moment = 16.0 μB/cell
electronic total energy = -5.48 eV per atom


Computed, not measured: a geometry-optimized AcZnAs structure at the PBE level of DFT.

Structure (POSCAR):
```
AcZnAs
1.0
0.0000 3.6407 3.6407
3.6407 0.0000 3.6407
3.6407 3.6407 0.0000
Ac As Zn
1 1 1
Cartesian
0.0000 0.0000 0.0000
1.8203 1.8203 1.8203
5.4611 5.4611 5.4611
```

Summary:
size of the total moment = 0.0 μB/cell
electronic total energy = -3.80 eV per atom


Computed, not measured: a geometry-optimized Tm2B6Os structure at the PBE level of DFT.

Structure (POSCAR):
```
Tm2B6Os
1.0
-0.3975 8.8609 -1.8463
-8.5443 -1.9131 -7.3421
-2.3940 0.4487 2.6691
Os B Tm
4 24 8
Cartesian
-2.9988 5.0311 -3.5355
-7.3606 6.0743 -7.6232
-1.5812 0.8735 -1.5651
-5.9431 1.9167 -5.6528
-6.0777 7.1175 -4.2020
-5.2582 0.2790 -2.3172
-7.9274 -1.1194 -4.4763
-5.1212 4.2977 -2.8700
-9.6435 1.8441 -6.5137
-6.2488 1.3449 -3.3849
-9.5498 6.8270 -7.2674
-8.0245 5.0386 -5.5986
-3.8395 3.9445 -1.6610
-8.3103 1.9333 -5.3329
-3.9435 0.7827 -1.2228
-3.0257 5.4632 -1.1864
-7.4964 3.4520 -4.8582
-3.4085 8.5159 -2.0430
-1.9754 2.2734 0.2920
-7.3924 6.6138 -5.2965
-7.5508 0.6697 -4.4392
-3.7851 6.7267 -2.0800
-1.7862 0.5695 0.7481
-9.3606 5.1231 -6.8112
-6.2147 3.0988 -3.6492
-5.0871 6.0516 -3.1343
-3.3114 2.3579 -0.9206
-1.6924 5.5524 -0.0055
-5.3758 -0.7005 -4.7040
-3.5660 7.6483 -4.4843
-1.0620 7.1098 -2.1478
-3.6642 2.0522 -3.6316
-7.8799 -0.1621 -7.0405
-1.2577 3.6902 -1.7485
-5.2777 4.8955 -5.5568
-7.6841 3.2576 -7.4398
```

Summary:
size of the total moment = 0.0 μB/cell
electronic total energy = -7.40 eV per atom


Computed, not measured: a geometry-optimized SmTcI structure at the PBE level of DFT.

Structure (POSCAR):
```
SmTcI
1.0
-3.8344 -0.0930 1.5684
-0.6394 -1.4645 3.8233
3.1915 12.3076 2.9637
I Sm Tc
2 2 2
Cartesian
-2.7020 0.8482 4.3445
1.4197 9.9018 4.0109
-0.9296 3.3448 3.3516
-0.3527 7.4052 5.0038
-2.1098 5.0156 6.0399
0.8274 5.7345 2.3155
```

Summary:
size of the total moment = 0.1 μB/cell
electronic total energy = -6.24 eV per atom


Computed, not measured: a geometry-optimized Y2GaAg2 structure at the PBE level of DFT.

Structure (POSCAR):
```
Y2GaAg2
1.0
5.4242 0.7268 -1.1685
-1.0791 5.4638 -0.5461
-1.4005 -2.5507 4.7799
Ag Y Ga
2 2 1
Cartesian
2.8797 4.1029 -1.1364
1.4653 2.0877 -0.5782
-0.1535 3.0042 1.6882
3.0981 0.6357 1.3770
0.0000 0.0000 0.0000
```

Summary:
size of the total moment = 0.0 μB/cell
electronic total energy = -4.39 eV per atom


Computed, not measured: a geometry-optimized ScBe2Pd structure at the PBE level of DFT.

Structure (POSCAR):
```
ScBe2Pd
1.0
-0.9431 1.6147 3.8242
2.2544 3.2623 1.5477
-1.7725 3.8584 0.3030
Be Pd Sc
2 1 1
Cartesian
-0.2306 4.3677 2.8375
-0.3459 6.5515 4.2562
-0.1153 2.1838 1.4187
0.0000 0.0000 0.0000
```

Summary:
size of the total moment = 0.0 μB/cell
electronic total energy = -4.97 eV per atom


Computed, not measured: a geometry-optimized Zr6CdPb structure at the PBE level of DFT.

Structure (POSCAR):
```
Zr6CdPb
1.0
-3.0978 3.5104 3.1742
-4.4775 -0.9450 -3.3247
-1.5330 -4.3335 3.2963
Zr Pb Cd
6 1 1
Cartesian
-2.6177 -1.5436 -0.8476
-3.0987 0.4760 4.0378
-2.6556 1.5216 0.7653
-1.5322 -1.2991 2.4327
-4.9197 1.0438 -0.9159
-3.3929 -3.7349 0.8192
-4.5542 -0.8841 1.5729
0.0000 0.0000 0.0000
```

Summary:
size of the total moment = 0.0 μB/cell
electronic total energy = -7.12 eV per atom


Computed, not measured: a geometry-optimized AcFePt structure at the PBE level of DFT.

Structure (POSCAR):
```
AcFePt
1.0
-4.4457 -1.4388 1.3636
-3.8739 2.7627 -1.0269
-3.2167 -1.4661 -3.3462
Fe Pt Ac
1 1 1
Cartesian
-2.8841 -0.0356 -0.7524
-8.6522 -0.1067 -2.2571
0.0000 0.0000 0.0000
```

Summary:
energy of formation from the pure elements = 0.5049 eV per atom
size of the total moment = 3.0 μB/cell
electronic total energy = -5.65 eV per atom


Computed, not measured: a geometry-optimized RbFeGe structure at the PBE level of DFT.

Structure (POSCAR):
```
RbFeGe
1.0
0.3426 -4.7478 0.8013
1.7454 -1.6192 4.1991
-2.9445 -2.1301 3.1770
Ge Fe Rb
1 1 1
Cartesian
-0.2141 -2.1243 2.0444
0.0000 0.0000 0.0000
-0.6424 -6.3728 6.1331
```

Summary:
size of the total moment = 2.2 μB/cell
electronic total energy = -3.56 eV per atom


Computed, not measured: a geometry-optimized TbPPbO structure at the PBE level of DFT.

Structure (POSCAR):
```
TbPPbO
1.0
-0.7050 -3.8806 0.4559
0.6838 -1.1143 -8.4280
5.7390 -0.9727 0.5942
Pb O Tb P
2 2 2 2
Cartesian
0.6405 -0.9713 -7.2777
3.0121 -0.6462 -0.8429
2.7752 -1.2343 -6.2151
5.2821 -1.1298 -1.4495
2.5741 -3.0982 -5.1027
5.2208 -3.2216 -2.0601
2.3015 -2.7293 -2.3844
5.3902 -3.5729 -4.7891
```

Summary:
size of the total moment = 0.0 μB/cell
electronic total energy = -6.09 eV per atom


Computed, not measured: a geometry-optimized BaLiLuS3 structure at the PBE level of DFT.

Structure (POSCAR):
```
BaLiLuS3
1.0
-1.2190 9.4066 9.9805
0.1399 -2.9290 2.7776
10.2434 0.8849 0.4171
Ba Lu S Li
4 4 12 4
Cartesian
4.5468 1.8343 3.1736
-0.5226 6.1524 7.9822
4.6175 5.5282 10.0018
9.6869 1.2102 5.1931
6.3156 2.9381 7.1850
1.6931 -0.4313 0.9282
7.4712 7.7939 12.2471
2.8487 4.4244 5.9903
2.8413 8.1992 9.9711
9.4308 1.0072 2.0554
6.3230 -0.8367 3.2042
6.7037 8.0867 9.6579
7.2282 3.3760 4.6642
4.0074 1.9685 6.2789
-0.2665 6.3553 11.1199
0.7327 3.2611 4.8702
2.4606 -0.7241 3.5174
1.9361 3.9865 8.5111
5.1569 5.3940 6.8964
8.4316 4.1014 8.3052
0.4361 2.6515 7.1789
4.8947 9.1358 10.8554
8.7282 4.7110 5.9964
4.2696 -1.7733 2.3200
```

Summary:
size of the total moment = 0.0 μB/cell
electronic total energy = -5.38 eV per atom